# 1
First-principles (PBE-GGA) data for TeWBr after structural relaxation, as listed in Alexandria.

The energy above the most stable polymorph in this dataset is 0 kJ/mol of formula units. Its symmetry is P-1. The value obtained for the density of states at the Fermi level is 0.2 states/eV/cell. As for the raw formation energy: -0.10 eV/atom.

a = 3.6378 Å, b = 7.1054 Å, c = 8.1500 Å
α = 87.38°, β = 78.77°, γ = 89.61°
Atoms (fractional coordinates):
Te: 0.1846 0.2555 0.1458
Te: 0.8154 0.7445 0.8542
W: 0.2999 0.0267 0.8821
W: 0.7001 0.9733 0.1179
Br: 0.3873 0.2691 0.6558
Br: 0.6127 0.7309 0.3442

=====

# 2
First-principles (PBE-GGA) data for TeW2Br after structural relaxation, as listed in Alexandria.

The energy above the most stable polymorph in this dataset is 298 kJ/mol of formula units. Its symmetry is P4/mmm. The value obtained for the density of states at the Fermi level is 4.7 states/eV/cell. As for the raw formation energy: 1.18 eV/atom.

a = 3.3006 Å, b = 3.3006 Å, c = 6.6185 Å
α = 90.00°, β = 90.00°, γ = 90.00°
Atoms (fractional coordinates):
Te: 0.0000 0.0000 0.0000
W: 0.5000 0.5000 0.2374
W: 0.5000 0.5000 0.7627
Br: 0.0000 0.0000 0.5000

=====

# 3
First-principles (PBE-GGA) data for TeW2Br after structural relaxation, as listed in Alexandria.

The energy above the most stable polymorph in this dataset is 218 kJ/mol of formula units. Its symmetry is R-3m. The value obtained for the density of states at the Fermi level is 3.2 states/eV/cell. As for the raw formation energy: 0.97 eV/atom.

a = 8.8359 Å, b = 8.8359 Å, c = 8.8359 Å
α = 20.49°, β = 20.49°, γ = 20.49°
Atoms (fractional coordinates):
Te: 0.0000 0.0000 0.0000
W: 0.2520 0.2520 0.2520
W: 0.7480 0.7480 0.7480
Br: 0.5000 0.5000 0.5000

=====

Copy entry 2 word for word.
First-principles (PBE-GGA) data for TeW2Br after structural relaxation, as listed in Alexandria.

The energy above the most stable polymorph in this dataset is 298 kJ/mol of formula units. Its symmetry is P4/mmm. The value obtained for the density of states at the Fermi level is 4.7 states/eV/cell. As for the raw formation energy: 1.18 eV/atom.

a = 3.3006 Å, b = 3.3006 Å, c = 6.6185 Å
α = 90.00°, β = 90.00°, γ = 90.00°
Atoms (fractional coordinates):
Te: 0.0000 0.0000 0.0000
W: 0.5000 0.5000 0.2374
W: 0.5000 0.5000 0.7627
Br: 0.0000 0.0000 0.5000

=====

Q: The lowest raw formation energy belongs to which entry?
A: TeWBr

=====

Q: Which value of raw formation energy does entry 1 give?
A: -0.10 eV/atom

=====

Q: Number 2 is which compound?
A: TeW2Br